# 1
# ScAg2Br

A relaxed structure of ScAg2Br (PBE-GGA, the Alexandria database).

Cell: 4.775 4.775 7.252 Å, 82.94 82.94 42.98°
Sites, in units of the cell vectors:
Ag 0.952 0.952 0.010
Ag 0.684 0.684 0.854
Br 0.644 0.644 0.455
Sc 0.220 0.220 0.181

## Properties
Relative energy among the computed polymorphs (eV/f.u.): 0.070
DFT total energy (hartree per atom): -0.1394
Crystal system: monoclinic

---

# 2
# Hf3GaFe8

A relaxed structure of Hf3GaFe8 (PBE-GGA, the Alexandria database).

Cell: 4.888 4.888 8.455 Å, 73.20 73.20 60.00°
Site moments in Bohr magnetons follow the coordinates.
Sites, in units of the cell vectors:
Hf 0.376 0.376 0.873  -0.44
Hf 0.996 0.996 0.012  -0.43
Hf 0.503 0.503 0.491  -0.45
Ga 0.873 0.873 0.381  -0.07
Fe 0.938 0.437 0.188  1.82
Fe 0.439 0.938 0.685  1.90
Fe 0.437 0.437 0.188  1.82
Fe 0.938 0.938 0.685  1.90
Fe 0.188 0.188 0.436  1.81
Fe 0.688 0.688 0.937  1.89
Fe 0.437 0.938 0.188  1.82
Fe 0.938 0.439 0.685  1.90

## Properties
DFT total energy (hartree per atom): -0.3191
Crystal system: trigonal
Energy of formation (meV/atom): -301

---

# 3
# Li3AcAl

A relaxed structure of Li3AcAl (PBE-GGA, the Alexandria database).

Cell: 4.769 8.325 12.474 Å, 90.00 90.00 90.00°
Sites, in units of the cell vectors:
Li 0.250 0.575 0.109
Li 0.750 0.425 0.891
Li 0.250 0.075 0.391
Li 0.750 0.925 0.609
Li 0.250 0.371 0.720
Li 0.750 0.129 0.220
Li 0.250 0.871 0.780
Li 0.750 0.627 0.733
Li 0.250 0.373 0.267
Li 0.750 0.127 0.767
Li 0.750 0.629 0.280
Li 0.250 0.873 0.233
Ac 0.750 0.803 0.005
Ac 0.250 0.697 0.505
Ac 0.750 0.303 0.495
Ac 0.250 0.197 0.995
Al 0.250 0.083 0.615
Al 0.250 0.583 0.885
Al 0.750 0.417 0.115
Al 0.750 0.917 0.385

## Properties
DFT total energy (hartree per atom): -0.1003
Crystal system: orthorhombic
Energy of formation (meV/atom): -11

---

# 4
# Li2NbRu

A relaxed structure of Li2NbRu (PBE-GGA, the Alexandria database).

Cell: 7.048 7.048 5.549 Å, 50.58 50.58 90.00°
Sites, in units of the cell vectors:
Ru 0.000 0.000 0.000
Ru 0.750 0.250 0.500
Nb 0.500 0.500 0.000
Nb 0.250 0.750 0.500
Li 0.647 0.125 0.250
Li 0.103 0.625 0.250
Li 0.375 0.353 0.750
Li 0.875 0.897 0.750

## Properties
Relative energy among the computed polymorphs (eV/f.u.): 0.551
DFT total energy (hartree per atom): -0.1898
Crystal system: tetragonal
Energy of formation (meV/atom): 628

---

# 5
# Li2BeRe

A relaxed structure of Li2BeRe (PBE-GGA, the Alexandria database).

Cell: 2.530 2.530 8.903 Å, 90.00 90.00 109.06°
Sites, in units of the cell vectors:
Be 0.500 0.500 0.750
Li 0.000 0.000 0.991
Li 0.000 0.000 0.509
Re 0.500 0.500 0.250

## Properties
DFT total energy (hartree per atom): -0.1721
Crystal system: orthorhombic
Energy of formation (meV/atom): 318

---

# 6
# Dy4ScZn

A relaxed structure of Dy4ScZn (PBE-GGA, the Alexandria database).

Cell: 5.938 8.870 8.138 Å, 114.15 99.32 111.86°
Sites, in units of the cell vectors:
Dy 0.047 0.196 0.815
Dy 0.769 0.709 0.626
Dy 0.268 0.619 0.815
Dy 0.357 0.917 0.626
Dy 0.643 0.083 0.374
Dy 0.732 0.381 0.185
Dy 0.231 0.291 0.374
Dy 0.953 0.804 0.185
Sc 0.361 0.611 0.223
Sc 0.639 0.389 0.777
Zn 0.248 0.998 0.996
Zn 0.752 0.002 0.004

## Properties
Relative energy among the computed polymorphs (eV/f.u.): 0.611
DFT total energy (hartree per atom): -0.1587
Crystal system: monoclinic
Energy of formation (meV/atom): 16

---

Question: What is the formula in the sixth record?
Answer: Dy4ScZn

---

Question: Which of these has the lowest DFT total energy?
Answer: Hf3GaFe8

---

Question: Which of these has the highest DFT total energy?
Answer: Li3AcAl

---

Question: The lowest DFT total energy belongs to which entry?
Answer: Hf3GaFe8